No. 1
Entry from the Alexandria database: a relaxed structure of Ho8Co3Pd2 (PBE).

Cell: 8.3389 4.7040 8.3646 Å, 90.00 110.55 90.00°
Fractional positions:
Ho1 0.1187 0.0000 0.3845
Ho2 0.1344 0.5000 0.8687
Ho3 0.3727 0.5000 0.6365
Ho4 0.3797 0.0000 0.1169
Ho5 0.6203 0.0000 0.8831
Ho6 0.6273 0.5000 0.3635
Ho7 0.8656 0.5000 0.1313
Ho8 0.8813 0.0000 0.6155
Co1 0.2536 0.0000 0.7528
Co2 0.5000 0.5000 0.0000
Co3 0.7464 0.0000 0.2472
Pd1 0.2475 0.5000 0.2515
Pd2 0.7525 0.5000 0.7485

Output
volume	23.63	A^3/atom
DOS at the Fermi energy	0.8024	states/eV/atom
space group	P2/m, No. 10
spin magnetization	0.000	μB per atom
energy of formation	-4.3	eV/f.u.
energy	-72.7	eV/f.u.

No. 2
Entry from the Alexandria database: a relaxed structure of Ho8CoPd2 (PBE).

Cell: 8.9090 8.9090 6.6595 Å, 104.92 104.92 32.91°
Fractional positions:
Ho1 0.0311 0.0311 0.2914
Ho2 0.2031 0.2031 0.8166
Ho3 0.3384 0.3384 0.5277
Ho4 0.4110 0.4110 0.0632
Ho5 0.5890 0.5890 0.9368
Ho6 0.6616 0.6616 0.4723
Ho7 0.7969 0.7969 0.1834
Ho8 0.9689 0.9689 0.7086
Co1 0.5000 0.5000 0.5000
Pd1 0.1886 0.1886 0.2234
Pd2 0.8114 0.8114 0.7766

Output
volume	25.15	A^3/atom
polymorph energy (0 for the lowest one)	0	meV per atom
DOS at the Fermi energy	1.1586	states/eV/atom
space group	C2/m, No. 12
spin magnetization	0.000	μB per atom
energy of formation	-3.9	eV/f.u.
energy	-58.0	eV/f.u.

No. 3
Entry from the Alexandria database: a relaxed structure of Ho7Co2Pd2 (PBE).

Cell: 6.5177 6.5177 6.7222 Å, 90.00 90.00 108.78°
Fractional positions:
Ho1 0.0000 0.0000 0.0000
Ho2 0.0000 0.5000 0.2553
Ho3 0.0000 0.5000 0.7447
Ho4 0.5000 0.0000 0.2553
Ho5 0.5000 0.0000 0.7447
Ho6 0.5000 0.5000 0.2482
Ho7 0.5000 0.5000 0.7518
Co1 0.2906 0.7094 0.0000
Co2 0.7094 0.2906 0.0000
Pd1 0.1867 0.1867 0.5000
Pd2 0.8133 0.8133 0.5000

Output
volume	24.58	A^3/atom
polymorph energy (0 for the lowest one)	119	meV per atom
DOS at the Fermi energy	0.7994	states/eV/atom
space group	Cmmm, No. 65
spin magnetization	0.000	μB per atom
energy of formation	-3.3	eV/f.u.
energy	-59.9	eV/f.u.

No. 4
Entry from the Alexandria database: a relaxed structure of Ho5CoPd2 (PBE).

Cell: 8.1138 11.7291 4.0132 Å, 90.00 90.00 90.00°
Fractional positions:
Ho1 0.0000 0.0000 0.0000
Ho2 0.1557 0.3032 0.0000
Ho3 0.1751 0.5821 0.5000
Ho4 0.3249 0.0821 0.5000
Ho5 0.3443 0.8032 0.0000
Ho6 0.5000 0.5000 0.0000
Ho7 0.6557 0.1968 0.0000
Ho8 0.6751 0.9179 0.5000
Ho9 0.8249 0.4179 0.5000
Ho10 0.8443 0.6968 0.0000
Co1 0.0000 0.5000 0.0000
Co2 0.5000 0.0000 0.0000
Pd1 0.0551 0.8257 0.5000
Pd2 0.4449 0.3257 0.5000
Pd3 0.5551 0.6743 0.5000
Pd4 0.9449 0.1743 0.5000

Output
volume	23.87	A^3/atom
DOS at the Fermi energy	0.8260	states/eV/atom
space group	Pbam, No. 55
spin magnetization	0.000	μB per atom
energy of formation	-4.4	eV/f.u.
energy	-44.8	eV/f.u.

No. 5
Entry from the Alexandria database: a relaxed structure of Ho3CoPd (PBE).

Cell: 5.8336 5.8336 8.3005 Å, 111.64 111.64 63.03°
Fractional positions:
Ho1 0.0135 0.0135 0.2219
Ho2 0.2953 0.2953 0.6610
Ho3 0.3153 0.3153 0.1463
Ho4 0.6847 0.6847 0.8537
Ho5 0.7047 0.7047 0.3390
Ho6 0.9865 0.9865 0.7781
Co1 0.3129 0.6871 0.0000
Co2 0.6871 0.3129 0.0000
Pd1 0.2712 0.7288 0.5000
Pd2 0.7288 0.2712 0.5000

Output
volume	22.70	A^3/atom
polymorph energy (0 for the lowest one)	11	meV per atom
DOS at the Fermi energy	0.7334	states/eV/atom
space group	C2/m, No. 12
spin magnetization	0.000	μB per atom
energy of formation	-2.2	eV/f.u.
energy	-28.2	eV/f.u.

No. 6
Entry from the Alexandria database: a relaxed structure of Ho6CoPd2 (PBE).

Cell: 6.4856 7.2711 11.6539 Å, 90.00 123.32 90.00°
Fractional positions:
Ho1 0.1085 0.0335 0.2496
Ho2 0.1085 0.4665 0.7496
Ho3 0.2290 0.6787 0.0645
Ho4 0.2290 0.8213 0.5645
Ho5 0.3915 0.1829 0.0629
Ho6 0.3915 0.3171 0.5629
Ho7 0.6085 0.6829 0.4371
Ho8 0.6085 0.8171 0.9371
Ho9 0.7710 0.1787 0.4355
Ho10 0.7710 0.3213 0.9355
Ho11 0.8915 0.5335 0.2504
Ho12 0.8915 0.9665 0.7504
Co1 0.5000 0.0000 0.5000
Co2 0.5000 0.5000 0.0000
Pd1 0.3075 0.1143 0.7516
Pd2 0.3075 0.3857 0.2516
Pd3 0.6925 0.6143 0.7484
Pd4 0.6925 0.8857 0.2484

Output
volume	25.51	A^3/atom
DOS at the Fermi energy	0.8234	states/eV/atom
space group	P2_1/c, No. 14
spin magnetization	0.000	μB per atom
energy of formation	-4.2	eV/f.u.
energy	-49.2	eV/f.u.

No. 7
Entry from the Alexandria database: a relaxed structure of Ho5Co4Pd (PBE).

Cell: 3.3562 3.3562 16.8343 Å, 90.00 90.00 90.00°
Fractional positions:
Ho1 0.0000 0.0000 0.0000
Ho2 0.0000 0.0000 0.1956
Ho3 0.0000 0.0000 0.3919
Ho4 0.0000 0.0000 0.6081
Ho5 0.0000 0.0000 0.8044
Co1 0.5000 0.5000 0.0981
Co2 0.5000 0.5000 0.2966
Co3 0.5000 0.5000 0.7034
Co4 0.5000 0.5000 0.9019
Pd1 0.5000 0.5000 0.5000

Output
volume	18.96	A^3/atom
DOS at the Fermi energy	0.3007	states/eV/atom
space group	P4/mmm, No. 123
spin magnetization	0.169	μB per atom
energy of formation	-3.2	eV/f.u.
energy	-59.7	eV/f.u.

No. 8
Entry from the Alexandria database: a relaxed structure of Ho8CoPd2 (PBE).

Cell: 7.6451 7.6451 6.0190 Å, 102.22 102.22 114.99°
Fractional positions:
Ho1 0.0000 0.0000 0.0000
Ho2 0.0069 0.2598 0.5856
Ho3 0.1602 0.5484 0.1873
Ho4 0.2598 0.0069 0.5856
Ho5 0.4388 0.6919 0.8135
Ho6 0.5484 0.1602 0.1873
Ho7 0.6919 0.4388 0.8135
Ho8 0.7032 0.7032 0.3683
Co1 0.3534 0.3534 0.9937
Pd1 0.0348 0.6535 0.6845
Pd2 0.6535 0.0348 0.6845

Output
volume	26.64	A^3/atom
polymorph energy (0 for the lowest one)	93	meV per atom
DOS at the Fermi energy	1.2225	states/eV/atom
space group	Cm, No. 8
spin magnetization	0.000	μB per atom
energy of formation	-2.9	eV/f.u.
energy	-57.0	eV/f.u.

No. 9
Entry from the Alexandria database: a relaxed structure of Ho8Co2Pd (PBE).

Cell: 7.3968 7.3968 5.8172 Å, 99.28 99.28 112.72°
Fractional positions:
Ho1 0.0000 0.0000 0.0000
Ho2 0.0281 0.2932 0.5939
Ho3 0.1433 0.5934 0.1886
Ho4 0.2932 0.0281 0.5939
Ho5 0.4413 0.7064 0.7863
Ho6 0.5934 0.1433 0.1886
Ho7 0.7064 0.4413 0.7863
Ho8 0.7391 0.7391 0.3790
Co1 0.0590 0.6761 0.6886
Co2 0.6761 0.0590 0.6886
Pd1 0.3691 0.3691 0.0607

Output
volume	25.53	A^3/atom
DOS at the Fermi energy	1.0230	states/eV/atom
space group	Cm, No. 8
spin magnetization	0.000	μB per atom
energy of formation	-2.0	eV/f.u.
energy	-58.0	eV/f.u.

No. 10
Entry from the Alexandria database: a relaxed structure of Ho4CoPd (PBE).

Cell: 7.6210 7.6210 7.6210 Å, 106.28 106.28 116.07°
Fractional positions:
Ho1 0.1665 0.4707 0.6958
Ho2 0.2207 0.0249 0.8042
Ho3 0.2207 0.4165 0.1958
Ho4 0.2943 0.0000 0.2943
Ho5 0.7057 0.0000 0.7057
Ho6 0.7500 0.5443 0.7943
Ho7 0.7500 0.9557 0.2057
Ho8 0.7749 0.4707 0.3042
Co1 0.7341 0.2341 0.5000
Co2 0.9841 0.9841 0.0000
Pd1 0.2391 0.7391 0.5000
Pd2 0.4891 0.4891 0.0000

Output
volume	28.11	A^3/atom
polymorph energy (0 for the lowest one)	97	meV per atom
DOS at the Fermi energy	0.6754	states/eV/atom
space group	I4_1md, No. 109
spin magnetization	0.000	μB per atom
energy of formation	-1.7	eV/f.u.
energy	-32.3	eV/f.u.

No. 11
Entry from the Alexandria database: a relaxed structure of Ho5Co2Pd2 (PBE).

Cell: 8.3464 8.3464 7.2290 Å, 90.00 90.00 51.27°
Fractional positions:
Ho1 0.0000 0.0000 0.0000
Ho2 0.0476 0.6876 0.6787
Ho3 0.1876 0.5476 0.1787
Ho4 0.3124 0.9524 0.6787
Ho5 0.4524 0.8124 0.1787
Ho6 0.5000 0.5000 0.5000
Ho7 0.5476 0.1876 0.8213
Ho8 0.6876 0.0476 0.3213
Ho9 0.8124 0.4524 0.8213
Ho10 0.9524 0.3124 0.3213
Co1 0.1115 0.8885 0.3899
Co2 0.3885 0.6115 0.8899
Co3 0.6115 0.3885 0.1101
Co4 0.8885 0.1115 0.6101
Pd1 0.2126 0.2126 0.0000
Pd2 0.2874 0.2874 0.5000
Pd3 0.7126 0.7126 0.5000
Pd4 0.7874 0.7874 0.0000

Output
volume	21.83	A^3/atom
DOS at the Fermi energy	0.6638	states/eV/atom
space group	Cmce, No. 64
spin magnetization	0.000	μB per atom
energy of formation	-4.5	eV/f.u.
energy	-52.0	eV/f.u.

No. 12
Entry from the Alexandria database: a relaxed structure of HoCoPd2 (PBE).

Cell: 4.0909 4.0909 3.9567 Å, 90.00 90.00 90.00°
Fractional positions:
Ho1 0.0000 0.0000 0.0000
Co1 0.5000 0.5000 0.0000
Pd1 0.0000 0.5000 0.5000
Pd2 0.5000 0.0000 0.5000

Output
volume	16.55	A^3/atom
DOS at the Fermi energy	1.0195	states/eV/atom
space group	P4/mmm, No. 123
spin magnetization	0.387	μB per atom
energy of formation	-2.0	eV/f.u.
energy	-24.1	eV/f.u.

No. 13
Entry from the Alexandria database: a relaxed structure of Ho3CoPd (PBE).

Cell: 7.9183 7.9183 7.9264 Å, 91.16 91.16 27.68°
Fractional positions:
Ho1 0.0587 0.0587 0.3123
Ho2 0.2396 0.2396 0.6931
Ho3 0.3955 0.3955 0.0504
Ho4 0.6045 0.6045 0.9496
Ho5 0.7604 0.7604 0.3069
Ho6 0.9413 0.9413 0.6877
Co1 0.2136 0.2136 0.0651
Co2 0.7864 0.7864 0.9349
Pd1 0.4054 0.4054 0.4238
Pd2 0.5946 0.5946 0.5762

Output
volume	23.08	A^3/atom
polymorph energy (0 for the lowest one)	0	meV per atom
DOS at the Fermi energy	0.9091	states/eV/atom
space group	C2/m, No. 12
spin magnetization	0.000	μB per atom
energy of formation	-2.3	eV/f.u.
energy	-28.3	eV/f.u.

No. 14
Entry from the Alexandria database: a relaxed structure of Ho5Co2Pd (PBE).

Cell: 8.6347 8.6347 8.6347 Å, 130.65 130.65 72.37°
Fractional positions:
Ho1 0.0000 0.0000 0.0000
Ho2 0.0352 0.5352 0.8473
Ho3 0.1879 0.0352 0.5000
Ho4 0.3121 0.8121 0.8473
Ho5 0.4648 0.3121 0.5000
Ho6 0.5000 0.5000 0.0000
Ho7 0.5352 0.6879 0.5000
Ho8 0.6879 0.1879 0.1527
Ho9 0.8121 0.9648 0.5000
Ho10 0.9648 0.4648 0.1527
Co1 0.1153 0.3847 0.5000
Co2 0.3847 0.8847 0.2693
Co3 0.6153 0.1153 0.7307
Co4 0.8847 0.6153 0.5000
Pd1 0.2500 0.2500 0.0000
Pd2 0.7500 0.7500 0.0000

Output
volume	22.64	A^3/atom
DOS at the Fermi energy	0.7931	states/eV/atom
space group	I4/mcm, No. 140
spin magnetization	0.000	μB per atom
energy of formation	-3.1	eV/f.u.
energy	-45.4	eV/f.u.

No. 15
Entry from the Alexandria database: a relaxed structure of PrHoCoPd (PBE).

Cell: 4.9475 4.9475 4.9475 Å, 60.00 60.00 60.00°
Fractional positions:
Pr1 0.0000 0.0000 0.0000
Ho1 0.5000 0.5000 0.5000
Co1 0.2500 0.2500 0.2500
Pd1 0.7500 0.7500 0.7500

Output
volume	21.41	A^3/atom
DOS at the Fermi energy	0.7689	states/eV/atom
space group	F-43m, No. 216
spin magnetization	0.083	μB per atom
energy of formation	-1.5	eV/f.u.
energy	-23.2	eV/f.u.

No. 16
Entry from the Alexandria database: a relaxed structure of HoPuCoPd (PBE).

Cell: 4.8455 4.8455 4.8455 Å, 60.00 60.00 60.00°
Fractional positions:
Ho1 0.0000 0.0000 0.0000
Pu1 0.5000 0.5000 0.5000
Co1 0.2500 0.2500 0.2500
Pd1 0.7500 0.7500 0.7500

Output
volume	20.11	A^3/atom
DOS at the Fermi energy	2.9849	states/eV/atom
space group	F-43m, No. 216
spin magnetization	1.264	μB per atom
energy of formation	-1.1	eV/f.u.
energy	-32.3	eV/f.u.

No. 17
Entry from the Alexandria database: a relaxed structure of HoScCoPd (PBE).

Cell: 4.6964 4.6964 4.6964 Å, 60.00 60.00 60.00°
Fractional positions:
Ho1 0.0000 0.0000 0.0000
Sc1 0.5000 0.5000 0.5000
Co1 0.7500 0.7500 0.7500
Pd1 0.2500 0.2500 0.2500

Output
volume	18.31	A^3/atom
DOS at the Fermi energy	0.5267	states/eV/atom
space group	F-43m, No. 216
spin magnetization	0.006	μB per atom
energy of formation	-2.1	eV/f.u.
energy	-25.3	eV/f.u.

No. 18
Entry from the Alexandria database: a relaxed structure of HoCoSnPd (PBE).

Cell: 4.6847 4.6847 4.6847 Å, 60.00 60.00 60.00°
Fractional positions:
Ho1 0.0000 0.0000 0.0000
Co1 0.7500 0.7500 0.7500
Sn1 0.5000 0.5000 0.5000
Pd1 0.2500 0.2500 0.2500

Output
volume	18.17	A^3/atom
DOS at the Fermi energy	0.8486	states/eV/atom
space group	F-43m, No. 216
spin magnetization	0.287	μB per atom
energy of formation	-2.1	eV/f.u.
energy	-22.9	eV/f.u.

No. 19
Entry from the Alexandria database: a relaxed structure of HoThCoPd (PBE).

Cell: 4.9479 4.9479 4.9479 Å, 60.00 60.00 60.00°
Fractional positions:
Ho1 0.0000 0.0000 0.0000
Th1 0.5000 0.5000 0.5000
Co1 0.7500 0.7500 0.7500
Pd1 0.2500 0.2500 0.2500

Output
volume	21.41	A^3/atom
polymorph energy (0 for the lowest one)	165	meV per atom
DOS at the Fermi energy	0.9753	states/eV/atom
space group	F-43m, No. 216
spin magnetization	0.105	μB per atom
energy of formation	-1.7	eV/f.u.
energy	-26.0	eV/f.u.

No. 20
Entry from the Alexandria database: a relaxed structure of HoThCoPd (PBE).

Cell: 3.9916 6.0260 6.0260 Å, 36.66 90.00 90.00°
Fractional positions:
Ho1 0.0000 0.0000 0.0000
Th1 0.5000 0.7197 0.7197
Co1 0.0000 0.2526 0.2526
Pd1 0.5000 0.4342 0.4342

Output
volume	21.64	A^3/atom
polymorph energy (0 for the lowest one)	0	meV per atom
DOS at the Fermi energy	0.6925	states/eV/atom
space group	Amm2, No. 38
spin magnetization	0.000	μB per atom
energy of formation	-2.4	eV/f.u.
energy	-26.7	eV/f.u.

No. 21
Entry from the Alexandria database: a relaxed structure of HoTiCoPd (PBE).

Cell: 4.6075 4.6075 4.6075 Å, 60.00 60.00 60.00°
Fractional positions:
Ho1 0.0000 0.0000 0.0000
Ti1 0.5000 0.5000 0.5000
Co1 0.7500 0.7500 0.7500
Pd1 0.2500 0.2500 0.2500

Output
volume	17.29	A^3/atom
DOS at the Fermi energy	1.0554	states/eV/atom
space group	F-43m, No. 216
spin magnetization	0.110	μB per atom
energy of formation	-1.3	eV/f.u.
energy	-26.1	eV/f.u.

No. 22
Entry from the Alexandria database: a relaxed structure of HoTmCoPd (PBE).

Cell: 3.3702 3.3702 6.8404 Å, 90.00 90.00 90.00°
Fractional positions:
Ho1 0.0000 0.0000 0.0000
Tm1 0.0000 0.0000 0.5265
Co1 0.5000 0.5000 0.7608
Pd1 0.5000 0.5000 0.2679

Output
volume	19.42	A^3/atom
polymorph energy (0 for the lowest one)	0	meV per atom
DOS at the Fermi energy	0.4002	states/eV/atom
space group	P4mm, No. 99
spin magnetization	0.051	μB per atom
energy of formation	-2.3	eV/f.u.
energy	-23.6	eV/f.u.

No. 23
Entry from the Alexandria database: a relaxed structure of HoTmCoPd (PBE).

Cell: 4.8015 4.8015 4.8015 Å, 60.00 60.00 60.00°
Fractional positions:
Ho1 0.0000 0.0000 0.0000
Tm1 0.5000 0.5000 0.5000
Co1 0.7500 0.7500 0.7500
Pd1 0.2500 0.2500 0.2500

Output
volume	19.57	A^3/atom
polymorph energy (0 for the lowest one)	38	meV per atom
DOS at the Fermi energy	0.5223	states/eV/atom
space group	F-43m, No. 216
spin magnetization	0.014	μB per atom
energy of formation	-2.1	eV/f.u.
energy	-23.5	eV/f.u.

No. 24
Entry from the Alexandria database: a relaxed structure of HoZnCoPd (PBE).

Cell: 4.5254 4.5254 4.5254 Å, 60.00 60.00 60.00°
Fractional positions:
Ho1 0.0000 0.0000 0.0000
Zn1 0.5000 0.5000 0.5000
Co1 0.7500 0.7500 0.7500
Pd1 0.2500 0.2500 0.2500

Output
volume	16.38	A^3/atom
DOS at the Fermi energy	0.4360	states/eV/atom
space group	F-43m, No. 216
spin magnetization	0.000	μB per atom
energy of formation	-1.5	eV/f.u.
energy	-19.6	eV/f.u.